The following is a GGA+U calculation of crystalline KVHO3 at its relaxed geometry, from the Alexandria database.

Density of states at the Fermi level ... 0.00 states/eV/cell
Distance to the lowest polymorph of the same formula ... 0 meV per atom
Energy ... -6.20 eV per atom

Geometry as POSCAR:
```
KVHO3
1.0
-3.020 -1.732 1.626
5.154 -3.800 5.525
-1.165 8.619 7.015
K V H O
4 4 4 12
Direct
0.750 0.042 0.847
0.250 0.958 0.153
0.250 0.458 0.347
0.750 0.542 0.653
0.750 0.115 0.438
0.250 0.885 0.562
0.250 0.385 0.938
0.750 0.615 0.062
0.750 0.217 0.214
0.250 0.783 0.786
0.250 0.283 0.714
0.750 0.717 0.286
0.750 0.303 0.487
0.250 0.697 0.513
0.250 0.197 0.987
0.750 0.803 0.013
0.750 0.456 0.935
0.250 0.544 0.065
0.250 0.044 0.435
0.750 0.956 0.565
0.750 0.621 0.239
0.250 0.379 0.761
0.250 0.879 0.739
0.750 0.121 0.261
```